AlZnTe2: optimized geometry, PBE.

CIF file:
```
data_AlZnTe2
_space_group_name_H-M_alt 'P m m m'
_space_group_IT_number 47
_cell_length_a 3.8936
_cell_length_b 3.9475
_cell_length_c 8.1852
_cell_angle_alpha 90.00
_cell_angle_beta 90.00
_cell_angle_gamma 90.00
loop_
_space_group_symop_operation_xyz
'x,y,z'
'-x,-y,-z'
'-x,-y,z'
'x,y,-z'
'x,-y,-z'
'-x,y,z'
'-x,y,-z'
'x,-y,z'
loop_
_atom_site_label
_atom_site_type_symbol
_atom_site_fract_x
_atom_site_fract_y
_atom_site_fract_z
Al1 Al 0.0000 0.0000 0.0000
Zn1 Zn 0.0000 0.5000 0.5000
Te1 Te 0.5000 0.0000 0.5000
Te2 Te 0.5000 0.5000 0.0000
```

## Properties
Excess energy over the best structure of this formula in the dataset: 285 meV per atom
Total energy: -11.18 eV/cell
Mass density: 4.6 g/cm3
Crystal system: orthorhombic
Energy relative to the elements, uncorrected: 0.030 eV/atom

=====

Ba2NaTc: optimized geometry, PBE.

CIF file:
```
data_Ba2NaTc
_space_group_name_H-M_alt 'I -4 2 d'
_space_group_IT_number 122
_space_group_name_Hall 'I -4 2bw'
_cell_length_a 10.4190
_cell_length_b 10.4190
_cell_length_c 6.2668
_cell_angle_alpha 90.00
_cell_angle_beta 90.00
_cell_angle_gamma 90.00
loop_
_atom_site_label
_atom_site_type_symbol
_atom_site_fract_x
_atom_site_fract_y
_atom_site_fract_z
Ba1 Ba 0.0859 0.2500 0.1250
Na1 Na 0.0000 0.0000 0.5000
Tc1 Tc 0.0000 0.0000 0.0000
```

## Properties
Excess energy over the best structure of this formula in the dataset: 119 meV per atom
Total energy: -48.80 eV/cell
Mass density: 3.9 g/cm3
Crystal system: tetragonal
DFT formation energy: 0.833 eV/atom

=====

SrCdIn2Pd2: optimized geometry, PBE.

CIF file:
```
data_SrCdIn2Pd2
_space_group_name_H-M_alt 'P 4/m m m'
_space_group_IT_number 123
_space_group_name_Hall '-P 4 2'
_cell_length_a 5.0572
_cell_length_b 5.0572
_cell_length_c 6.1138
_cell_angle_alpha 90.00
_cell_angle_beta 90.00
_cell_angle_gamma 90.00
loop_
_atom_site_label
_atom_site_type_symbol
_atom_site_fract_x
_atom_site_fract_y
_atom_site_fract_z
Sr1 Sr 0.0000 0.0000 0.0000
Cd1 Cd 0.0000 0.0000 0.5000
In1 In 0.5000 0.5000 0.2535
Pd1 Pd 0.0000 0.5000 0.5000
```

## Properties
Total energy: -20.03 eV/cell
Mass density: 6.8 g/cm3
Crystal system: tetragonal
DFT formation energy: -0.261 eV/atom

=====

Cd2SiP: optimized geometry, PBE.

CIF file:
```
data_Cd2SiP
_space_group_name_H-M_alt 'I -4 2 d'
_space_group_IT_number 122
_space_group_name_Hall 'I -4 2bw'
_cell_length_a 6.5506
_cell_length_b 6.5506
_cell_length_c 9.5295
_cell_angle_alpha 90.00
_cell_angle_beta 90.00
_cell_angle_gamma 90.00
loop_
_atom_site_label
_atom_site_type_symbol
_atom_site_fract_x
_atom_site_fract_y
_atom_site_fract_z
Cd1 Cd 0.2336 0.2500 0.1250
Si1 Si 0.0000 0.0000 0.5000
P1 P 0.0000 0.0000 0.0000
```

## Properties
Excess energy over the best structure of this formula in the dataset: 452 meV per atom
Total energy: -42.37 eV/cell
Mass density: 4.6 g/cm3
Crystal system: tetragonal
Energy relative to the elements, uncorrected: 0.517 eV/atom

=====

OsAu2Cl: optimized geometry, PBE.

CIF file:
```
data_OsAu2Cl
_space_group_name_H-M_alt 'P 4 m m'
_space_group_IT_number 99
_cell_length_a 2.9268
_cell_length_b 2.9268
_cell_length_c 8.6396
_cell_angle_alpha 90.00
_cell_angle_beta 90.00
_cell_angle_gamma 90.00
loop_
_space_group_symop_operation_xyz
'x,y,z'
'-y,x,z'
'-x,-y,z'
'y,-x,z'
'-x,y,z'
'y,x,z'
'x,-y,z'
'-y,-x,z'
loop_
_atom_site_label
_atom_site_type_symbol
_atom_site_fract_x
_atom_site_fract_y
_atom_site_fract_z
Os1 Os 0.0000 0.0000 0.0000
Au1 Au 0.0000 0.0000 0.4679
Au2 Au 0.5000 0.5000 0.2270
Cl1 Cl 0.5000 0.5000 0.8266
```

## Properties
Excess energy over the best structure of this formula in the dataset: 203 meV per atom
Total energy: -16.83 eV/cell
Mass density: 13.9 g/cm3
Crystal system: tetragonal
Energy relative to the elements, uncorrected: 0.700 eV/atom

=====

Tc4Pt: optimized geometry, PBE.

CIF file:
```
data_Tc4Pt
_space_group_name_H-M_alt 'I 4/m'
_space_group_IT_number 87
_space_group_name_Hall '-I 4'
_cell_length_a 6.1254
_cell_length_b 6.1254
_cell_length_c 3.9262
_cell_angle_alpha 90.00
_cell_angle_beta 90.00
_cell_angle_gamma 90.00
loop_
_atom_site_label
_atom_site_type_symbol
_atom_site_fract_x
_atom_site_fract_y
_atom_site_fract_z
Tc1 Tc 0.0939 0.6974 0.0000
Pt1 Pt 0.0000 0.0000 0.5000
```

## Properties
Excess energy over the best structure of this formula in the dataset: 0 meV per atom
Total energy: -95.58 eV/cell
Mass density: 13.2 g/cm3
Crystal system: tetragonal
DFT formation energy: -0.057 eV/atom